A relaxed structure of SiS4, computed with PBEsol.

Unit cell a=6.2754 b=4.7734 c=7.0733 alpha=90.00 beta=91.75 gamma=90.00
Space group P2_1/m (No. 11)
Symmetry-distinct sites (fractional):
Si 0.1010 0.2500 0.3324 (multiplicity 2)
S 0.2258 0.5221 0.1202 (multiplicity 4)
S 0.2360 0.7500 0.6391 (multiplicity 2)
S 0.2630 0.2500 0.6011 (multiplicity 2)

## Properties
formation energy (no corrections): -0.099 eV/atom

***

A relaxed structure of Sm4Si3S12, computed with PBEsol.

Unit cell a=18.8207 b=18.8207 c=7.7506 alpha=90.00 beta=90.00 gamma=120.00
Space group R3c (No. 161, hexagonal axes)
Symmetry-distinct sites (fractional):
Sm 0.0000 0.0000 0.0000 (multiplicity 6)
Sm 0.0048 0.2339 0.2115 (multiplicity 18)
Si 0.1476 0.4675 0.3228 (multiplicity 18)
S 0.0645 0.3946 0.5204 (multiplicity 18)
S 0.0864 0.2015 0.5026 (multiplicity 18)
S 0.1247 0.0622 0.2504 (multiplicity 18)
S 0.1544 0.3795 0.1637 (multiplicity 18)

## Properties
formation energy (no corrections): -1.456 eV/atom

***

A relaxed structure of SiSnS2, computed with PBEsol.

Unit cell a=3.3532 b=3.3532 c=24.8738 alpha=90.00 beta=90.00 gamma=120.00
Space group R-3m (No. 166, hexagonal axes)
Symmetry-distinct sites (fractional):
Si 0.0000 0.0000 0.0000 (multiplicity 3)
Sn 0.0000 0.0000 0.5000 (multiplicity 3)
S 0.0000 0.0000 0.3858 (multiplicity 6)

## Properties
formation energy (no corrections): -0.392 eV/atom